1.
The following is a DFT calculation (GGA-PBE) of a relaxed Cd7In3Hg2 crystal.

abc: 3.335 5.159 17.657
angles: 96.12 90.00 90.00
Fractional positions:
Cd (0.500, 0.736, 0.463)
Cd (0.500, 0.264, 0.537)
Cd (0.000, 0.772, 0.156)
Cd (0.000, 0.000, 0.000)
Cd (0.000, 0.228, 0.844)
Cd (0.500, 0.740, 0.839)
Cd (0.500, 0.260, 0.161)
In (0.500, 0.500, 0.000)
In (0.000, 0.199, 0.366)
In (0.000, 0.801, 0.634)
Hg (0.500, 0.675, 0.297)
Hg (0.500, 0.325, 0.703)

Calculated values
The density of states at the Fermi level is 4.7 states/eV/cell. As for the formation energy: 40 meV/atom. The calculation puts the relative energy among the computed polymorphs at 0 meV/atom. As for the space group: P2/m.



2.
The following is a DFT calculation (GGA-PBE) of a relaxed Li3TmPb12 crystal.

abc: 4.769 4.769 19.969
angles: 90.00 90.00 90.00
Fractional positions:
Li (0.000, 0.000, 0.251)
Li (0.000, 0.000, 0.500)
Li (0.000, 0.000, 0.749)
Tm (0.000, 0.000, 0.000)
Pb (0.500, 0.500, 0.000)
Pb (0.500, 0.500, 0.253)
Pb (0.500, 0.500, 0.500)
Pb (0.500, 0.500, 0.747)
Pb (0.500, 0.000, 0.128)
Pb (0.500, 0.000, 0.376)
Pb (0.500, 0.000, 0.624)
Pb (0.500, 0.000, 0.872)
Pb (0.000, 0.500, 0.128)
Pb (0.000, 0.500, 0.376)
Pb (0.000, 0.500, 0.624)
Pb (0.000, 0.500, 0.872)

Calculated values
The density of states at the Fermi level is 7.0 states/eV/cell. As for the formation energy: -146 meV/atom. As for the space group: P4/mmm.